1.
This record from Alexandria via LeMat-Bulk describes a relaxed Sn3AsS6 crystal. The functional is PBE-GGA.

Output
Its calculated volume is 26.162 A^3/atom. The calculation puts the energy relative to the elements, uncorrected at -2.658 eV/f.u. The density of states at the Fermi level comes out at 5.15 states/eV per cell. As for the magnetization: 0.000 μB/f.u. The calculated total energy is -4.4081 eV per atom.

Lattice parameters (Å, degrees): 11.313 3.691 12.901 90.00 103.77 90.00
Space group P2_1/m (No. 11)
Unique sites:
Sn: 0.052 0.250 0.359 x2
Sn: 0.352 0.750 0.452 x2
Sn: 0.434 0.250 0.876 x2
As: 0.161 0.750 0.943 x2
S: 0.030 0.250 0.878 x2
S: 0.145 0.750 0.502 x2
S: 0.257 0.750 0.802 x2
S: 0.276 0.250 0.315 x2
S: 0.390 0.250 0.064 x2
S: 0.436 0.250 0.595 x2

---

2.
This record from Alexandria via LeMat-Bulk describes a relaxed Sn2AsS crystal. The functional is PBE-GGA.

Output
Its calculated volume is 27.677 A^3/atom. The offset from the most stable computed form comes out at 163.8 meV per atom. The calculation puts the energy relative to the elements, uncorrected at -0.054 eV/f.u. The density of states at the Fermi level comes out at 8.57 states/eV per cell. As for the magnetization: 0.000 μB/f.u. The calculated total energy is -4.2091 eV per atom.

Lattice parameters (Å, degrees): 7.215 7.215 8.506 90.00 90.00 90.00
Space group I-42d (No. 122)
Unique sites:
Sn: 0.247 0.750 0.125 x8
As: 0.000 0.000 0.500 x4
S: 0.000 0.000 0.000 x4

---

3.
This record from Alexandria via LeMat-Bulk describes a relaxed SnAs2S crystal. The functional is PBE-GGA.

Output
Its calculated volume is 20.240 A^3/atom. The offset from the most stable computed form comes out at 184.3 meV per atom. The calculation puts the energy relative to the elements, uncorrected at 1.670 eV/f.u. The density of states at the Fermi level comes out at 9.57 states/eV per cell. As for the magnetization: 0.000 μB/f.u. The calculated total energy is -3.9400 eV per atom.

Lattice parameters (Å, degrees): 6.867 6.867 6.867 90.00 90.00 90.00
Space group Fm-3m (No. 225)
Unique sites:
Sn: 0.000 0.000 0.000 x4
As: 0.250 0.250 0.250 x8
S: 0.000 0.000 0.500 x4

---

4.
This record from Alexandria via LeMat-Bulk describes a relaxed Sn2AsS crystal. The functional is PBE-GGA.

Output
Its calculated volume is 25.795 A^3/atom. The offset from the most stable computed form comes out at 37.1 meV per atom. The calculation puts the energy relative to the elements, uncorrected at -0.560 eV/f.u. The density of states at the Fermi level comes out at 7.37 states/eV per cell. As for the magnetization: 0.000 μB/f.u. The calculated total energy is -4.3358 eV per atom.

Lattice parameters (Å, degrees): 3.9739 3.9739 22.6332 90.00 90.00 120.00
Space group R3m (No. 160, hexagonal axes)
Unique sites:
Sn: 0.0000 0.0000 0.0000 x3
Sn: 0.0000 0.0000 0.1782 x3
As: 0.0000 0.0000 0.5797 x3
S: 0.0000 0.0000 0.3979 x3

---

5.
This record from Alexandria via LeMat-Bulk describes a relaxed SnAsS4 crystal. The functional is PBE-GGA.

Output
Its calculated volume is 25.212 A^3/atom. The calculation puts the energy relative to the elements, uncorrected at -0.800 eV/f.u. The density of states at the Fermi level comes out at 5.05 states/eV per cell. As for the magnetization: 0.000 μB/f.u. The calculated total energy is -4.3269 eV per atom.

Lattice parameters (Å, degrees): 14.772 3.602 6.246 90.00 114.45 90.00
Space group C2/m (No. 12)
Unique sites:
Sn: 0.000 0.000 0.000 x2
As: 0.000 0.500 0.500 x2
S: 0.108 0.000 0.449 x4
S: 0.110 0.500 0.935 x4

---

6.
This record from Alexandria via LeMat-Bulk describes a relaxed SnAsS2 crystal. The functional is PBE-GGA.

Output
Its calculated volume is 19.599 A^3/atom. The calculation puts the energy relative to the elements, uncorrected at 0.889 eV/f.u. The density of states at the Fermi level comes out at 6.35 states/eV per cell. As for the magnetization: 0.000 μB/f.u. The calculated total energy is -4.0046 eV per atom.

Lattice parameters (Å, degrees): 6.794 6.794 6.794 90.00 90.00 90.00
Space group Fm-3m (No. 225)
Unique sites:
Sn: 0.000 0.000 0.000 x4
As: 0.000 0.000 0.500 x4
S: 0.250 0.250 0.250 x8

---

7.
This record from Alexandria via LeMat-Bulk describes a relaxed Sn2AsS2 crystal. The functional is PBE-GGA.

Output
Its calculated volume is 24.591 A^3/atom. The offset from the most stable computed form comes out at 91.4 meV per atom. The calculation puts the energy relative to the elements, uncorrected at 0.700 eV/f.u. The density of states at the Fermi level comes out at 3.74 states/eV per cell. As for the magnetization: 0.914 μB/f.u. The calculated total energy is -4.0420 eV per atom.

Lattice parameters (Å, degrees): 5.357 5.357 8.570 90.00 90.00 90.00
Space group I4/mmm (No. 139)
Unique sites:
Sn: 0.000 0.000 0.176 x4
As: 0.000 0.000 0.500 x2
S: 0.000 0.500 0.250 x4

---

8.
This record from Alexandria via LeMat-Bulk describes a relaxed SnAsS2 crystal. The functional is PBE-GGA.

Output
Its calculated volume is 23.733 A^3/atom. The calculation puts the energy relative to the elements, uncorrected at -0.228 eV/f.u. The density of states at the Fermi level comes out at 1.96 states/eV per cell. As for the magnetization: 0.000 μB/f.u. The calculated total energy is -4.2839 eV per atom.

Lattice parameters (Å, degrees): 3.5952 3.5952 25.4424 90.00 90.00 120.00
Space group R-3m (No. 166, hexagonal axes)
Unique sites:
Sn: 0.0000 0.0000 0.0000 x3
As: 0.0000 0.0000 0.5000 x3
S: 0.0000 0.0000 0.1086 x6

---

9.
This record from Alexandria via LeMat-Bulk describes a relaxed Sn2AsS crystal. The functional is PBE-GGA.

Output
Its calculated volume is 24.864 A^3/atom. The offset from the most stable computed form comes out at 4.6 meV per atom. The calculation puts the energy relative to the elements, uncorrected at -0.691 eV/f.u. The density of states at the Fermi level comes out at 4.82 states/eV per cell. As for the magnetization: 0.000 μB/f.u. The calculated total energy is -4.3683 eV per atom.

Lattice parameters (Å, degrees): 6.950 3.992 14.337 90.00 90.00 90.00
Space group Pnma (No. 62)
Unique sites:
Sn: 0.149 0.250 0.244 x4
Sn: 0.229 0.750 0.001 x4
As: 0.096 0.250 0.842 x4
S: 0.089 0.750 0.596 x4

---

10.
This record from Alexandria via LeMat-Bulk describes a relaxed Sn2AsS crystal. The functional is PBE-GGA.

Output
Its calculated volume is 28.101 A^3/atom. The offset from the most stable computed form comes out at 25.9 meV per atom. The calculation puts the energy relative to the elements, uncorrected at -0.605 eV/f.u. The density of states at the Fermi level comes out at 1.31 states/eV per cell. As for the magnetization: 0.000 μB/f.u. The calculated total energy is -4.3469 eV per atom.

Lattice parameters (Å, degrees): 4.0987 4.0987 7.7263 90.00 90.00 120.00
Space group P3m1 (No. 156)
Unique sites:
Sn: 0.0000 0.0000 0.0000 x1
Sn: 0.3333 0.6667 0.5467 x1
As: 0.6667 0.3333 0.7232 x1
S: 0.3333 0.6667 0.1869 x1

---

11.
This record from Alexandria via LeMat-Bulk describes a relaxed Sn2AsS crystal. The functional is PBE-GGA.

Output
Its calculated volume is 22.134 A^3/atom. The offset from the most stable computed form comes out at 221.3 meV per atom. The calculation puts the energy relative to the elements, uncorrected at 0.176 eV/f.u. The density of states at the Fermi level comes out at 8.54 states/eV per cell. As for the magnetization: 0.000 μB/f.u. The calculated total energy is -4.1516 eV per atom.

Lattice parameters (Å, degrees): 7.075 7.075 7.075 90.00 90.00 90.00
Space group Fm-3m (No. 225)
Unique sites:
Sn: 0.250 0.250 0.250 x8
As: 0.000 0.000 0.000 x4
S: 0.000 0.000 0.500 x4

---

12.
This record from Alexandria via LeMat-Bulk describes a relaxed SnAs2S4 crystal. The functional is PBE-GGA.

Output
Its calculated volume is 26.563 A^3/atom. The calculation puts the energy relative to the elements, uncorrected at 0.386 eV/f.u. The density of states at the Fermi level comes out at 4.46 states/eV per cell. As for the magnetization: 0.000 μB/f.u. The calculated total energy is -4.2037 eV per atom.

Lattice parameters (Å, degrees): 6.628 6.628 8.466 90.00 90.00 90.00
Space group I-42m (No. 121)
Unique sites:
Sn: 0.000 0.000 0.000 x2
As: 0.000 0.500 0.250 x4
S: 0.230 0.230 0.143 x8

---

Q: Which of these has the lowest energy relative to the elements, uncorrected?
A: Sn3AsS6

---

Q: Among the records above, which one has the lowest energy relative to the elements, uncorrected?
A: Sn3AsS6